1.
{"formula": "CsCl2", "functional": "PBE", "state": "relaxed", "cell": [[10.7934, -0.0036, 0.0011], [0.5102, 4.8926, 0.0005], [1.1064, -0.1153, 4.7681]], "species": ["Cs", "Cs", "Cl", "Cl", "Cl", "Cl"], "fractional_positions": [[0.8052, 0.4683, 0.8438], [0.4113, 0.0314, 0.5392], [0.4689, 0.5149, 0.0104], [0.0068, 0.8234, 0.2426], [0.7476, 0.9849, 0.3725], [0.2096, 0.6766, 0.1402]], "final_energy_ev_per_atom": -2.872, "raw_formation_energy_mev_per_atom": -1357}

=====

2.
{"formula": "Cs3Cl", "functional": "PBE", "state": "relaxed", "cell": [[-0.1772, -4.3320, -1.8084], [2.8751, -1.6658, 3.7088], [-10.9912, -2.6167, 7.3451]], "species": ["Cs", "Cs", "Cs", "Cl"], "fractional_positions": [[0.0000, 0.5000, 0.4591], [0.5000, 0.5000, 0.0846], [0.5000, 0.0000, 0.7933], [0.0000, 0.0000, 0.9963]], "final_energy_ev_per_atom": -2.002, "raw_formation_energy_mev_per_atom": -901, "polymorph_energy_mev_per_atom": 11}

=====

3.
{"formula": "CsCl2", "functional": "PBE", "state": "relaxed", "cell": [[-9.4729, 3.6749, 1.1491], [-0.7689, -0.3329, -5.2744], [-0.5238, -9.4751, 0.6743]], "species": ["Cs", "Cs", "Cs", "Cs", "Cl", "Cl", "Cl", "Cl", "Cl", "Cl", "Cl", "Cl"], "fractional_positions": [[0.3104, 0.0000, 0.1089], [0.6896, 0.0000, 0.8911], [0.3104, 0.5000, 0.6089], [0.6896, 0.5000, 0.3911], [0.0000, 0.5000, 0.0000], [0.0000, 0.0000, 0.5000], [0.5000, 0.0000, 0.5000], [0.5000, 0.5000, 0.0000], [0.1562, 0.0000, 0.7320], [0.8438, 0.0000, 0.2680], [0.1562, 0.5000, 0.2320], [0.8438, 0.5000, 0.7680]], "final_energy_ev_per_atom": -2.844, "raw_formation_energy_mev_per_atom": -1328}

=====

4.
{"formula": "CsCu4Cl7", "functional": "PBE", "state": "relaxed", "cell": [[-2.9709, -5.3004, -1.6539], [3.1935, -3.1975, 4.5110], [-11.4285, 3.1784, 10.3435]], "species": ["Cs", "Cs", "Cu", "Cu", "Cu", "Cu", "Cu", "Cu", "Cu", "Cu", "Cl", "Cl", "Cl", "Cl", "Cl", "Cl", "Cl", "Cl", "Cl", "Cl", "Cl", "Cl", "Cl", "Cl"], "fractional_positions": [[0.5222, 0.7927, 0.5000], [0.0222, 0.2073, 0.0000], [0.5957, 0.6688, 0.8793], [0.0727, 0.8204, 0.2499], [0.5727, 0.1796, 0.2501], [0.0957, 0.3312, 0.6207], [0.0957, 0.3312, 0.3793], [0.5957, 0.6688, 0.1207], [0.0727, 0.8204, 0.7501], [0.5727, 0.1796, 0.7499], [0.9556, 0.7173, 0.1220], [0.4556, 0.2827, 0.3780], [0.5146, 0.3218, 0.8785], [0.0146, 0.6782, 0.6215], [0.0146, 0.6782, 0.3785], [0.5146, 0.3218, 0.1215], [0.4439, 0.8342, 0.7621], [0.9439, 0.1658, 0.7379], [0.9439, 0.1658, 0.2621], [0.4439, 0.8342, 0.2379], [0.4677, 0.8166, 0.0000], [0.9677, 0.1834, 0.5000], [0.9556, 0.7173, 0.8780], [0.4556, 0.2827, 0.6220]], "final_energy_ev_per_atom": -3.308, "raw_formation_energy_mev_per_atom": -795}

=====

5.
{"formula": "CsCu3Cl", "functional": "PBE", "state": "relaxed", "cell": [[5.0342, 0.0000, 0.0000], [0.0000, 5.0342, 0.0000], [0.0000, 0.0000, 5.0342]], "species": ["Cs", "Cu", "Cu", "Cu", "Cl"], "fractional_positions": [[0.5000, 0.5000, 0.5000], [0.0000, 0.5000, 0.0000], [0.0000, 0.0000, 0.5000], [0.5000, 0.0000, 0.0000], [0.0000, 0.0000, 0.0000]], "final_energy_ev_per_atom": -2.243, "raw_formation_energy_mev_per_atom": 755, "polymorph_energy_mev_per_atom": 0}

=====

6.
{"formula": "Cs2Cu2Cl", "functional": "PBE", "state": "relaxed", "cell": [[-1.3359, -0.4377, -6.6007], [-0.6405, -6.6937, 0.5735], [-4.8461, -3.1321, -2.2615]], "species": ["Cs", "Cs", "Cu", "Cu", "Cl"], "fractional_positions": [[0.7500, 0.2500, 0.5000], [0.2500, 0.7500, 0.5000], [0.3508, 0.3508, 0.2984], [0.6492, 0.6492, 0.7016], [0.0000, 0.0000, 0.0000]], "final_energy_ev_per_atom": -2.472, "raw_formation_energy_mev_per_atom": -123}